(1)
Computed, not measured: SrHRh3 after structural relaxation at the GGA-PBE level of DFT.

Properties
**Total moment**: 3.6 μB/cell
**Electronic total energy**: -3.070 eV/atom

The structure in CIF format:
```
data_SrHRh3
_chemical_formula_sum 'Sr1 H1 Rh3'
_symmetry_space_group_name_H-M 'P m -3 m'
_symmetry_Int_Tables_number 221
_symmetry_space_group_name_Hall '-P 4 2 3'
_cell_length_a 5.1351
_cell_length_b 5.1351
_cell_length_c 5.1351
_cell_angle_alpha 90.00
_cell_angle_beta 90.00
_cell_angle_gamma 90.00
loop_
_atom_site_label
_atom_site_type_symbol
_atom_site_fract_x
_atom_site_fract_y
_atom_site_fract_z
Sr1 Sr 0.0000 0.0000 0.0000
H1 H 0.5000 0.5000 0.5000
Rh1 Rh 0.0000 0.0000 0.5000
```

---

(2)
Computed, not measured: SrH6Rh after structural relaxation at the GGA-PBE level of DFT.

Properties
**Total moment**: 0.0 μB/cell
**Electronic total energy**: -3.890 eV/atom

The structure in CIF format:
```
data_SrH6Rh
_chemical_formula_sum 'Sr2 H12 Rh2'
_symmetry_space_group_name_H-M 'C 1 2/m 1'
_symmetry_Int_Tables_number 12
_symmetry_space_group_name_Hall '-C 2y'
_cell_length_a 7.6438
_cell_length_b 4.6108
_cell_length_c 5.0150
_cell_angle_alpha 90.00
_cell_angle_beta 118.74
_cell_angle_gamma 90.00
loop_
_atom_site_label
_atom_site_type_symbol
_atom_site_fract_x
_atom_site_fract_y
_atom_site_fract_z
Sr1 Sr 0.0000 0.0000 0.0000
H1 H 0.1237 0.5000 0.8823
H2 H 0.1897 0.2908 0.5070
Rh1 Rh 0.0000 0.5000 0.5000
```

---

(3)
Computed, not measured: Sr2H2Rh after structural relaxation at the GGA-PBE level of DFT.

Properties
**Total moment**: 0.0 μB/cell
**Electronic total energy**: -3.619 eV/atom

The structure in CIF format:
```
data_Sr2H2Rh
_chemical_formula_sum 'Sr4 H4 Rh2'
_symmetry_space_group_name_H-M 'P 4/m b m'
_symmetry_Int_Tables_number 127
_symmetry_space_group_name_Hall '-P 4 2ab'
_cell_length_a 7.2552
_cell_length_b 7.2552
_cell_length_c 3.3237
_cell_angle_alpha 90.00
_cell_angle_beta 90.00
_cell_angle_gamma 90.00
loop_
_atom_site_label
_atom_site_type_symbol
_atom_site_fract_x
_atom_site_fract_y
_atom_site_fract_z
Sr1 Sr 0.1809 0.3191 0.0000
H1 H 0.1229 0.6229 0.5000
Rh1 Rh 0.0000 0.0000 0.5000
```

---

(4)
Computed, not measured: Sr3H9Rh2 after structural relaxation at the GGA-PBE level of DFT.

Properties
**Total moment**: 4.7 μB/cell
**Electronic total energy**: -4.027 eV/atom

The structure in CIF format:
```
data_Sr3H9Rh2
_chemical_formula_sum 'Sr18 H54 Rh12'
_symmetry_space_group_name_H-M 'R -3 c'
_symmetry_Int_Tables_number 167
_symmetry_space_group_name_Hall '-R 3 2"c'
_cell_length_a 8.9906
_cell_length_b 8.9906
_cell_length_c 14.7653
_cell_angle_alpha 90.00
_cell_angle_beta 90.00
_cell_angle_gamma 120.00
loop_
_atom_site_label
_atom_site_type_symbol
_atom_site_fract_x
_atom_site_fract_y
_atom_site_fract_z
Sr1 Sr 0.0000 0.3360 0.2500
H1 H 0.0000 0.1377 0.7500
H2 H 0.0009 0.1631 0.4066
Rh1 Rh 0.0000 0.0000 0.1573
```

---

- Which value of total moment does entry 2 give?
  0.0 μB/cell

---

- Which formula does entry 3 have?
  Sr2H2Rh

---

- The lowest electronic total energy belongs to which entry?
  Sr3H9Rh2

---

- What is the electronic total energy in the fourth record?
  -4.027 eV/atom